(1)
Entry from Alexandria via LeMat-Bulk: a relaxed structure of Mg2Ag (PBEsol).

Summary:
Its magnetic moment is 0.0 μB/cell. The calculation puts the calculated volume at 20.65 A^3/atom. The formation energy is -0.20 eV per formula unit.

Geometry as CIF:
```
data_Mg2Ag
_chemical_formula_sum 'Mg8 Ag4'
_space_group_name_H-M_alt 'I 41/a m d'
_space_group_IT_number 141
_cell_length_a 3.178
_cell_length_b 3.178
_cell_length_c 24.535
_cell_angle_alpha 90.00
_cell_angle_beta 90.00
_cell_angle_gamma 90.00
loop_
_space_group_symop_operation_xyz
'x,y,z'
'-x,-y,-z'
'-y+1/4,x+3/4,z+1/4'
'y+1/4,-x+3/4,-z+1/4'
'-x+1/2,-y,z+1/2'
'x+1/2,y,-z+1/2'
'y+1/4,-x+1/4,z+3/4'
'-y+1/4,x+1/4,-z+3/4'
'x,-y,-z'
'-x,y,z'
'-y+1/4,-x+1/4,-z+3/4'
'y+1/4,x+1/4,z+3/4'
'-x+1/2,y,-z+1/2'
'x+1/2,-y,z+1/2'
'y+1/4,x+3/4,-z+1/4'
'-y+1/4,-x+3/4,z+1/4'
'x+1/2,y+1/2,z+1/2'
'-x+1/2,-y+1/2,-z+1/2'
'-y+3/4,x+1/4,z+3/4'
'y+3/4,-x+1/4,-z+3/4'
'-x,-y+1/2,z'
'x,y+1/2,-z'
'y+3/4,-x+3/4,z+1/4'
'-y+3/4,x+3/4,-z+1/4'
'x+1/2,-y+1/2,-z+1/2'
'-x+1/2,y+1/2,z+1/2'
'-y+3/4,-x+3/4,-z+1/4'
'y+3/4,x+3/4,z+1/4'
'-x,y+1/2,-z'
'x,-y+1/2,z'
'y+3/4,x+1/4,-z+3/4'
'-y+3/4,-x+1/4,z+3/4'
loop_
_atom_site_label
_atom_site_type_symbol
_atom_site_fract_x
_atom_site_fract_y
_atom_site_fract_z
Mg1 Mg 0.000 0.250 0.305
Ag1 Ag 0.000 0.250 0.875
```

=====

(2)
Entry from Alexandria via LeMat-Bulk: a relaxed structure of KZnTe2 (PBEsol).

Summary:
Its magnetic moment is 0.0 μB/cell. The value obtained for the formation energy (no corrections) is -0.0648 eV/atom. The calculation puts the calculated volume at 26.97 A^3/atom.

Geometry as CIF:
```
data_KZnTe2
_chemical_formula_sum 'K2 Zn2 Te4'
_space_group_name_H-M_alt 'I -4 m 2'
_space_group_IT_number 119
_space_group_name_Hall 'I -4 -2'
_cell_length_a 4.445
_cell_length_b 4.445
_cell_length_c 10.921
_cell_angle_alpha 90.00
_cell_angle_beta 90.00
_cell_angle_gamma 90.00
loop_
_atom_site_label
_atom_site_type_symbol
_atom_site_fract_x
_atom_site_fract_y
_atom_site_fract_z
K1 K 0.000 0.000 0.000
Zn1 Zn 0.000 0.500 0.750
Te1 Te 0.000 0.000 0.500
Te2 Te 0.000 0.500 0.250
```